1.
The following is a PBE calculation of an optimized crystal structure of PaSbN, from Alexandria via LeMat-Bulk.

Its magnetic moment is 0.28 μB/f.u. The value obtained for the polymorph energy (0 for the lowest one) is 473.5 meV per atom. Its final energy is -0.2972 Ha/atom. The value obtained for the uncorrected formation energy is -0.773 eV per atom.

The structure belongs to space group I4mm (No. 107); the cell edges are 3.201, 3.201 and 12.332 Å and the angles 90.00°, 90.00° and 90.00°. The distinct sites, in fractional coordinates, are Pa at (0.000, 0.000, 0.000), Sb at (0.000, 0.000, 0.274) and N at (0.000, 0.000, 0.545).

---

2.
The following is a PBE calculation of an optimized crystal structure of Pa2SbN3, from Alexandria via LeMat-Bulk.

Its magnetic moment is 0.00 μB/f.u. Its final energy is -0.3452 Ha/atom. The value obtained for the uncorrected formation energy is -1.379 eV per atom.

The structure belongs to space group C2/m (No. 12); the cell edges are 12.828, 3.889 and 9.536 Å and the angles 90.00°, 117.29° and 90.00°. The distinct sites, in fractional coordinates, are Pa at (0.018, 0.000, 0.271), Pa at (0.166, 0.500, 0.083), Sb at (0.137, 0.500, 0.592), N at (0.010, 0.500, 0.149), N at (0.159, 0.000, 0.933) and N at (0.179, 0.000, 0.238).

---

3.
The following is a PBE calculation of an optimized crystal structure of Pa4Sb3N4, from Alexandria via LeMat-Bulk.

Its magnetic moment is 0.34 μB/f.u. Its final energy is -0.3277 Ha/atom. The value obtained for the uncorrected formation energy is -1.313 eV per atom.

The structure belongs to space group Amm2 (No. 38); the cell edges are 8.418, 3.987 and 13.168 Å and the angles 90.00°, 90.00° and 90.00°. The distinct sites, in fractional coordinates, are Pa at (0.000, 0.000, 0.000), Pa at (0.240, 0.000, 0.675), Pa at (0.500, 0.000, 0.018), Sb at (0.000, 0.000, 0.299), Sb at (0.326, 0.000, 0.365), N at (0.000, 0.000, 0.581), N at (0.247, 0.000, 0.091) and N at (0.500, 0.000, 0.611).